Entry 1:
The following is a PBE-GGA calculation of Y3TePb2 after structural relaxation, from Alexandria via LeMat-Bulk.

Computed properties:
- ΔE_f (raw): -0.787 eV/atom

Lattice parameters (Å, degrees): 4.202 6.282 7.932 113.33 105.38 90.00
Atoms (fractional coordinates):
Pb 0.834 0.334 0.669
Y 0.834 0.834 0.668
Y 0.166 0.166 0.332
Pb 0.166 0.666 0.331
Te 0.500 0.000 0.000
Y 0.500 0.500 0.000

=====

Entry 2:
The following is a PBE-GGA calculation of MgZn2Pb after structural relaxation, from Alexandria via LeMat-Bulk.

Computed properties:
- ΔE_f: 0.112 eV per atom
- Energy relative to the lowest polymorph listed for this composition: 70.3 meV/atom

Lattice parameters (Å, degrees): 4.967 4.967 4.967 60.00 60.00 60.00
Atoms (fractional coordinates):
Zn 0.750 0.750 0.750
Pb 0.500 0.500 0.500
Mg 0.000 0.000 0.000
Zn 0.250 0.250 0.250

=====

Entry 3:
The following is a PBE-GGA calculation of Cd3Pd8Pt after structural relaxation, from Alexandria via LeMat-Bulk.

Computed properties:
- ΔE_f: 0.288 eV per atom

Lattice parameters (Å, degrees): 6.970 6.970 6.970 93.36 118.08 118.08
Atoms (fractional coordinates):
Cd 0.500 0.750 0.250
Pd 0.000 0.787 0.277
Pd 0.000 0.636 0.904
Pd 0.268 0.364 0.364
Cd 0.000 0.500 0.500
Pd 0.510 0.723 0.723
Pd 0.000 0.277 0.787
Pd 0.490 0.213 0.213
Pt 0.000 0.000 0.000
Cd 0.500 0.250 0.750
Pd 0.732 0.096 0.096
Pd 0.000 0.904 0.636

=====

Entry 4:
The following is a PBE-GGA calculation of SrAlC2 after structural relaxation, from Alexandria via LeMat-Bulk.

Computed properties:
- ΔE_f: 0.660 eV per atom
- Energy relative to the lowest polymorph listed for this composition: 0.0 meV/atom

Lattice parameters (Å, degrees): 4.535 4.535 7.088 71.34 71.34 90.00
Atoms (fractional coordinates):
Sr 0.750 0.250 0.500
Sr 0.000 0.000 0.000
C 0.371 0.625 0.250
C 0.875 0.629 0.750
Al 0.500 0.500 0.000
C 0.375 0.621 0.750
Al 0.250 0.750 0.500
C 0.379 0.125 0.250

=====

Entry 5:
The following is a PBE-GGA calculation of Sc6HgS4 after structural relaxation, from Alexandria via LeMat-Bulk.

Computed properties:
- ΔE_f (raw): -1.488 eV/atom

Lattice parameters (Å, degrees): 3.703 6.384 18.867 90.00 90.00 106.86
Atoms (fractional coordinates):
S 0.862 0.724 0.541
S 0.592 0.184 0.878
Sc 0.960 0.920 0.840
Sc 0.500 0.000 0.500
S 0.592 0.184 0.622
Hg 0.336 0.672 0.750
Sc 0.500 0.000 0.000
S 0.408 0.816 0.122
Sc 0.347 0.694 0.250
Sc 0.040 0.080 0.340
Sc 0.227 0.453 0.916
Sc 0.960 0.920 0.660
Sc 0.773 0.547 0.084
S 0.138 0.276 0.459
Hg 0.664 0.328 0.250
S 0.138 0.276 0.041
Sc 0.227 0.453 0.584
S 0.408 0.816 0.378
Sc 0.773 0.547 0.416
Sc 0.653 0.306 0.750
S 0.862 0.724 0.959
Sc 0.040 0.080 0.160

=====

Entry 6:
The following is a PBE-GGA calculation of MnMoHOs after structural relaxation, from Alexandria via LeMat-Bulk.

Computed properties:
- Energy relative to the lowest polymorph listed for this composition: 112.4 meV/atom

Lattice parameters (Å, degrees): 3.792 2.740 9.376 90.00 113.46 90.00
Last column: magnetic moment on the atom in μB.
Atoms (fractional coordinates):
H 0.455 0.500 0.825  0.00
Os 0.075 0.000 0.129  -0.07
Mn 0.457 0.000 0.507  1.27
H 0.455 0.000 0.325  0.00
Mo 0.808 0.000 0.824  -0.09
Mo 0.808 0.500 0.324  -0.09
Os 0.075 0.500 0.629  -0.07
Mn 0.457 0.500 0.007  1.27

=====

Entry 7:
The following is a PBE-GGA calculation of LiCe2YSe4 after structural relaxation, from Alexandria via LeMat-Bulk.

Computed properties:
- ΔE_f (raw): -1.721 eV/atom

Lattice parameters (Å, degrees): 4.131 7.173 7.139 70.55 90.00 90.00
Last column: magnetic moment on the atom in μB.
Atoms (fractional coordinates):
Se 0.500 0.265 0.751  -0.01
Ce 0.500 0.000 0.500  1.02
Se 0.000 0.734 0.759  -0.01
Ce 0.000 0.000 0.000  0.96
Li 0.500 0.500 0.000  0.00
Se 0.500 0.735 0.249  -0.01
Se 0.000 0.266 0.241  -0.01
Y 0.000 0.500 0.500  0.03

=====

Entry 8:
The following is a PBE-GGA calculation of ZnIn2Pd after structural relaxation, from Alexandria via LeMat-Bulk.

Computed properties:
- ΔE_f: 0.138 eV per atom

Lattice parameters (Å, degrees): 3.108 3.108 10.268 81.29 81.29 60.00
Atoms (fractional coordinates):
Zn 0.500 0.500 0.500
In 0.087 0.087 0.738
In 0.913 0.913 0.262
Pd 0.000 0.000 0.000

=====

Entry 9:
The following is a PBE-GGA calculation of LiTmTh2As4 after structural relaxation, from Alexandria via LeMat-Bulk.

Computed properties:
- ΔE_f: -1.175 eV per atom

Lattice parameters (Å, degrees): 4.239 7.332 7.027 109.94 90.00 90.00
Atoms (fractional coordinates):
Tm 0.000 0.000 0.000
As 0.000 0.750 0.247
As 0.000 0.250 0.753
Li 0.500 0.500 0.000
As 0.500 0.752 0.760
Th 0.500 0.000 0.500
As 0.500 0.248 0.240
Th 0.000 0.500 0.500

=====

Entry 10:
The following is a PBE-GGA calculation of K7Fe5S10 after structural relaxation, from Alexandria via LeMat-Bulk.

Computed properties:
- ΔE_f (raw): -0.822 eV/atom

Lattice parameters (Å, degrees): 14.974 14.974 7.306 77.51 77.51 45.35
Last column: magnetic moment on the atom in μB.
Atoms (fractional coordinates):
K 0.668 0.479 0.064  0.01
S 0.633 0.301 0.014  0.10
K 0.479 0.668 0.564  0.01
S 0.802 0.065 0.712  0.13
S 0.198 0.935 0.288  0.13
K 0.896 0.104 0.250  0.01
S 0.368 0.939 0.790  0.11
S 0.935 0.198 0.788  0.13
S 0.371 0.088 0.169  0.12
S 0.453 0.253 0.828  0.15
S 0.065 0.802 0.212  0.13
Fe 0.473 0.926 0.992  2.79
K 0.174 0.118 0.489  0.01
S 0.629 0.912 0.831  0.12
S 0.061 0.632 0.710  0.11
K 0.609 0.826 0.458  0.01
Fe 0.926 0.473 0.492  2.79
K 0.332 0.521 0.936  0.01
Fe 0.634 0.165 0.938  2.67
K 0.104 0.896 0.750  0.01
Fe 0.765 0.235 0.750  2.81
Fe 0.835 0.366 0.562  2.67
K 0.826 0.882 0.511  0.01
S 0.912 0.629 0.331  0.12
S 0.547 0.747 0.172  0.15
S 0.367 0.699 0.986  0.10
K 0.391 0.174 0.542  0.01
K 0.118 0.174 0.989  0.01
Fe 0.074 0.527 0.508  2.79
Fe 0.527 0.074 0.008  2.79
S 0.301 0.633 0.514  0.10
S 0.699 0.367 0.486  0.10
K 0.826 0.609 0.958  0.01
S 0.939 0.368 0.290  0.11
S 0.632 0.061 0.210  0.11
K 0.521 0.332 0.436  0.01
Fe 0.165 0.634 0.438  2.67
S 0.253 0.453 0.328  0.15
Fe 0.366 0.835 0.062  2.67
S 0.088 0.371 0.669  0.12
K 0.882 0.826 0.011  0.01
K 0.174 0.391 0.042  0.01
Fe 0.235 0.765 0.250  2.81
S 0.747 0.547 0.672  0.15

=====

Entry 11:
The following is a PBE-GGA calculation of NiRh2Cl after structural relaxation, from Alexandria via LeMat-Bulk.

Computed properties:
- Energy relative to the lowest polymorph listed for this composition: 221.4 meV/atom
- ΔE_f (raw): 0.444 eV/atom

Lattice parameters (Å, degrees): 4.180 4.180 5.180 79.83 79.83 40.96
Atoms (fractional coordinates):
Rh 0.506 0.506 0.475
Cl 0.750 0.750 0.750
Ni 0.250 0.250 0.250
Rh 0.994 0.994 0.025

=====

Entry 12:
The following is a PBE-GGA calculation of AlCu3Rh after structural relaxation, from Alexandria via LeMat-Bulk.

Computed properties:
- ΔE_f: 0.861 eV per atom
- Energy relative to the lowest polymorph listed for this composition: 0.0 meV/atom

Lattice parameters (Å, degrees): 4.328 4.328 4.328 90.00 90.00 90.00
Atoms (fractional coordinates):
Cu 0.500 0.000 0.000
Rh 0.500 0.500 0.500
Cu 0.000 0.500 0.000
Cu 0.000 0.000 0.500
Al 0.000 0.000 0.000

=====

Entry 13:
The following is a PBE-GGA calculation of SrLaB after structural relaxation, from Alexandria via LeMat-Bulk.

Computed properties:
- ΔE_f: 0.029 eV per atom
- Energy relative to the lowest polymorph listed for this composition: 8.4 meV/atom

Lattice parameters (Å, degrees): 7.445 7.271 3.330 89.99 90.00 97.42
Atoms (fractional coordinates):
La 0.908 0.565 0.689
B 0.042 0.292 0.189
La 0.225 0.996 0.189
Sr 0.396 0.496 0.189
Sr 0.737 0.065 0.689
B 0.091 0.269 0.689

=====

Entry 14:
The following is a PBE-GGA calculation of PIrBr2 after structural relaxation, from Alexandria via LeMat-Bulk.

Computed properties:
- Energy relative to the lowest polymorph listed for this composition: 1517.4 meV/atom
- ΔE_f (raw): 1.082 eV/atom

Lattice parameters (Å, degrees): 4.695 4.695 4.695 119.98 119.98 90.03
Atoms (fractional coordinates):
Ir 0.500 0.500 0.000
P 0.750 0.250 0.500
Br 0.250 0.750 0.500
Br 0.000 0.000 0.000

=====

Entry 15:
The following is a PBE-GGA calculation of Zr2OF2 after structural relaxation, from Alexandria via LeMat-Bulk.

Computed properties:
- Energy relative to the lowest polymorph listed for this composition: 802.5 meV/atom
- ΔE_f (raw): -1.885 eV/atom

Lattice parameters (Å, degrees): 3.169 3.169 6.724 76.37 76.37 90.00
Last column: magnetic moment on the atom in μB.
Atoms (fractional coordinates):
F 0.750 0.250 0.500  0.00
F 0.250 0.750 0.500  0.00
O 0.000 0.000 0.000  -0.01
Zr 0.385 0.385 0.231  0.12
Zr 0.615 0.615 0.769  0.12

=====

Entry 16:
The following is a PBE-GGA calculation of Zn2InP after structural relaxation, from Alexandria via LeMat-Bulk.

Computed properties:
- ΔE_f: 0.256 eV per atom

Lattice parameters (Å, degrees): 3.858 3.923 4.957 90.00 90.00 90.00
Atoms (fractional coordinates):
Zn 0.000 0.000 0.000
Zn 0.500 0.000 0.500
P 0.000 0.500 0.500
In 0.500 0.500 0.000

=====

Entry 17:
The following is a PBE-GGA calculation of UV2W after structural relaxation, from Alexandria via LeMat-Bulk.

Computed properties:
- ΔE_f: 0.659 eV per atom
- Energy relative to the lowest polymorph listed for this composition: 481.5 meV/atom

Lattice parameters (Å, degrees): 2.753 2.753 10.487 82.46 82.46 60.00
Atoms (fractional coordinates):
V 0.081 0.081 0.756
V 0.919 0.919 0.244
W 0.000 0.000 0.000
U 0.500 0.500 0.500

=====

Entry 18:
The following is a PBE-GGA calculation of LaPaPd14 after structural relaxation, from Alexandria via LeMat-Bulk.

Computed properties:
- ΔE_f: -0.431 eV per atom

Lattice parameters (Å, degrees): 5.892 5.892 7.789 90.00 90.00 90.00
Atoms (fractional coordinates):
Pa 0.875 0.875 0.500
Pd 0.118 0.632 0.243
Pd 0.632 0.118 0.243
Pd 0.118 0.118 0.243
Pd 0.375 0.875 0.500
Pd 0.875 0.375 0.000
Pd 0.375 0.375 0.000
Pd 0.118 0.632 0.757
Pd 0.632 0.632 0.757
Pd 0.875 0.875 0.000
Pd 0.632 0.118 0.757
Pd 0.375 0.875 0.000
Pd 0.632 0.632 0.243
Pd 0.118 0.118 0.757
Pd 0.875 0.375 0.500
La 0.375 0.375 0.500

=====

no.,total magnetic moment (μB per atom),ρ (g cm⁻³),raw total energy (eV for the cell shown)
1,0.0000,7.30,-34.67
2,0.0000,6.94,-7.40
3,0.0000,9.34,-46.88
4,0.0000,3.54,-42.46
5,0.0000,4.66,-142.34
6,0.2813,12.71,-67.98
7,0.3030,5.76,-47.95
8,0.0000,7.88,-11.39
9,0.0000,7.60,-49.22
10,0.7692,2.56,-218.71
11,0.0000,8.55,-20.56
12,0.0000,6.57,-19.08
13,0.0000,4.41,-26.40
14,0.0000,8.69,-13.29
15,0.0630,6.17,-35.22
16,0.0000,6.12,-9.67
17,0.0000,12.79,-39.84
18,0.0000,11.42,-94.02